Material: Bi3PdC
Method: DFT, SCAN
State: PBEsol geometry

Lattice parameters (Å, degrees): 4.843 4.843 4.843 90.00 90.00 90.00
Space group Pm-3m (No. 221)
One atom of each set of equivalent atoms:
Bi: 0.000 0.000 0.500
Pd: 0.500 0.500 0.500
C: 0.000 0.000 0.000

Properties
The spin magnetization is 0.5 μB per cell. The calculation puts the total energy at -54.591 eV/atom. For the density of states at the Fermi level, the calculation gives 2.74 states/eV/cell. The calculation puts the energy of formation at 1131 meV per atom.